TlNi2O4: optimized geometry, PBE with a Hubbard U.

```
TlNi2O4
1.0
5.918 -0.508 1.598
-3.584 4.736 1.599
-0.280 -0.508 6.123
Tl Ni O
2 4 8
Direct
0.250 0.750 0.500 Tl
0.000 0.000 0.000 Tl
0.125 0.602 0.023 Ni
0.625 0.148 0.977 Ni
0.852 0.875 0.523 Ni
0.398 0.375 0.477 Ni
0.844 0.181 0.192 O
0.406 0.714 0.163 O
0.964 0.156 0.663 O
0.877 0.569 0.837 O
0.286 0.123 0.308 O
0.431 0.594 0.692 O
0.819 0.627 0.337 O
0.373 0.036 0.808 O
```

Results
The uncorrected energy is -4.495 eV/atom. As for the space-group type: No. 122.